[1]
Cd2AsRh after structural relaxation, computed with GGA-PBE. Values from VASP.

The structure in Quantum ESPRESSO input format:
```
&SYSTEM
  ibrav = 0, nat = 4, ntyp = 3
/
ATOMIC_SPECIES
Cd 112.41 Cd.upf
As 74.92 As.upf
Rh 102.91 Rh.upf
ATOMIC_POSITIONS crystal
Cd 0.0000 0.5000 0.0000
Cd 0.5000 0.0000 0.0000
As 0.0000 0.0000 0.5000
Rh 0.5000 0.5000 0.5000
CELL_PARAMETERS angstrom
4.2165 0.0000 0.0000
0.0000 4.2165 0.0000
0.0000 0.0000 4.1249
```

Properties
ΔE_f   37.5 meV/atom
DOS at the Fermi energy   1.910 states/eV/cell
Theoretical density   9.1 g/cm³
Crystal system   tetragonal

***

[2]
Cd2AsRh after structural relaxation, computed with GGA-PBE. Values from VASP.

The structure in Quantum ESPRESSO input format:
```
&SYSTEM
  ibrav = 0, nat = 4, ntyp = 3
/
ATOMIC_SPECIES
Cd 112.41 Cd.upf
As 74.92 As.upf
Rh 102.91 Rh.upf
ATOMIC_POSITIONS crystal
Cd 0.0000 0.0000 0.0000
Cd 0.7500 0.2500 0.5000
As 0.5000 0.5000 0.0000
Rh 0.2500 0.7500 0.5000
CELL_PARAMETERS angstrom
-2.0802 2.0802 4.2376
2.0802 -2.0802 4.2376
2.0802 2.0802 -4.2376
```

Properties
ΔE_f   19.4 meV/atom
DOS at the Fermi energy   1.611 states/eV/cell
Theoretical density   9.1 g/cm³
Crystal system   tetragonal

***

[3]
Cd2AsRh after structural relaxation, computed with GGA-PBE. Values from VASP.

The structure in Quantum ESPRESSO input format:
```
&SYSTEM
  ibrav = 0, nat = 8, ntyp = 3
/
ATOMIC_SPECIES
Cd 112.41 Cd.upf
As 74.92 As.upf
Rh 102.91 Rh.upf
ATOMIC_POSITIONS crystal
Cd 0.1211 0.1250 0.4961
Cd 0.3750 0.8789 0.0039
Cd 0.6289 0.6250 0.5039
Cd 0.8750 0.3711 0.9961
As 0.2500 0.7500 0.5000
As 0.5000 0.5000 0.0000
Rh 0.0000 0.0000 0.0000
Rh 0.7500 0.2500 0.5000
CELL_PARAMETERS angstrom
-3.8687 3.8687 2.6700
3.8687 -3.8687 2.6700
3.8687 3.8687 -2.6700
```

Properties
ΔE_f   216.9 meV/atom
DOS at the Fermi energy   3.352 states/eV/cell
Theoretical density   8.4 g/cm³
Crystal system   tetragonal

***

Number 1: final energy -3.4203 eV per atom. Number 2: final energy -3.4384 eV per atom. Number 3: final energy -3.2409 eV per atom.